A relaxed structure of FeNi5Pd, computed with GGA-PBE.

Properties
Energy relative to the elements ... 0.040 eV per atom
Space group ... No. 14
VASP energy ... -169.14 eV/cell
D(E_F) ... 41.2 states/eV/cell
ΔE to the lowest computed polymorph ... 0 meV/atom
Size of the total moment ... 0.91 μB/atom

Unit cell a=6.2881 b=5.0561 c=11.9104 alpha=90.00 beta=118.83 gamma=90.00
Fractional coordinates of all 28 atoms:
Fe 0.0002 0.1223 0.2493
Fe 0.0002 0.3777 0.7493
Fe 0.9998 0.6223 0.2507
Fe 0.9998 0.8777 0.7507
Ni 0.1674 0.1297 0.6119
Ni 0.1674 0.3703 0.1119
Ni 0.2808 0.6235 0.9501
Ni 0.2808 0.8765 0.4501
Ni 0.2965 0.1305 0.9531
Ni 0.2965 0.3695 0.4531
Ni 0.4264 0.6200 0.3228
Ni 0.4264 0.8800 0.8228
Ni 0.4287 0.1184 0.3241
Ni 0.4287 0.3816 0.8241
Ni 0.5713 0.6184 0.1759
Ni 0.5713 0.8816 0.6759
Ni 0.5736 0.1200 0.1772
Ni 0.5736 0.3800 0.6772
Ni 0.7035 0.6305 0.5469
Ni 0.7035 0.8695 0.0469
Ni 0.7192 0.1235 0.5499
Ni 0.7192 0.3765 0.0499
Ni 0.8326 0.6297 0.8881
Ni 0.8326 0.8703 0.3881
Pd 0.1583 0.6328 0.6068
Pd 0.1583 0.8672 0.1068
Pd 0.8417 0.1328 0.8932
Pd 0.8417 0.3672 0.3932

A relaxed structure of CrCo4, computed with GGA-PBE.

Properties
Energy relative to the elements ... 0.106 eV per atom
Space group ... No. 74
VASP energy ... -75.03 eV/cell
D(E_F) ... 11.2 states/eV/cell
ΔE to the lowest computed polymorph ... 44 meV/atom
Size of the total moment ... 0.48 μB/atom

Unit cell a=6.6804 b=6.6804 c=6.6804 alpha=146.94 beta=136.80 gamma=55.46
Fractional coordinates of all 10 atoms:
Cr 0.3580 0.1080 0.2500
Cr 0.6420 0.8920 0.7500
Co 0.0000 0.5000 0.5000
Co 0.1446 0.8946 0.2500
Co 0.1924 0.6982 0.4941
Co 0.2959 0.3018 0.9941
Co 0.5000 0.5000 0.0000
Co 0.7041 0.6982 0.0059
Co 0.8076 0.3018 0.5059
Co 0.8554 0.1054 0.7500

A relaxed structure of PmGa2Os, computed with GGA-PBE.

Properties
Energy relative to the elements ... -0.204 eV per atom
Space group ... No. 225
VASP energy ... -22.85 eV/cell
D(E_F) ... 2.4 states/eV/cell
ΔE to the lowest computed polymorph ... 157 meV/atom
Size of the total moment ... 0.00 μB/atom

Unit cell a=4.6739 b=4.6739 c=4.6739 alpha=60.00 beta=60.00 gamma=60.00
Fractional coordinates of all 4 atoms:
Pm 0.0000 0.0000 0.0000
Ga 0.2500 0.2500 0.2500
Ga 0.7500 0.7500 0.7500
Os 0.5000 0.5000 0.5000

A relaxed structure of KHS2Cl, computed with GGA-PBE.

Properties
Space group ... No. 123
VASP energy ... -9.85 eV/cell
D(E_F) ... 4.3 states/eV/cell
ΔE to the lowest computed polymorph ... 1016 meV/atom
Size of the total moment ... 1.00 μB/atom

Unit cell a=6.5700 b=6.5700 c=5.9212 alpha=90.00 beta=90.00 gamma=90.00
Fractional coordinates of all 5 atoms:
K 0.0000 0.0000 0.0000
H 0.5000 0.5000 0.5000
S 0.0000 0.5000 0.0000
S 0.5000 0.0000 0.0000
Cl 0.0000 0.0000 0.5000

A relaxed structure of NbInSnO6, computed with GGA-PBE.

Properties
Formation energy from raw total energies ... -1637 kJ/mol of formula units
Space group ... No. 163
VASP energy ... -127.05 eV/cell
D(E_F) ... 0.0 states/eV/cell
Size of the total moment ... 0.00 μB/atom

Unit cell a=5.3473 b=5.3473 c=9.3151 alpha=90.00 beta=90.00 gamma=120.00
Fractional coordinates of all 18 atoms:
Nb 0.3333 0.6667 0.2500
Nb 0.6667 0.3333 0.7500
In 0.0000 0.0000 0.0000
In 0.0000 0.0000 0.5000
Sn 0.3333 0.6667 0.7500
Sn 0.6667 0.3333 0.2500
O 0.0097 0.3531 0.1326
O 0.0097 0.6566 0.3674
O 0.3434 0.3531 0.3674
O 0.3434 0.9903 0.1326
O 0.3531 0.0097 0.6326
O 0.3531 0.3434 0.8674
O 0.6469 0.6566 0.1326
O 0.6469 0.9903 0.3674
O 0.6566 0.0097 0.8674
O 0.6566 0.6469 0.6326
O 0.9903 0.3434 0.6326
O 0.9903 0.6469 0.8674

A relaxed structure of Pa2NbTcN5, computed with GGA-PBE.

Properties
Formation energy from raw total energies ... -994 kJ/mol of formula units
Space group ... No. 36
VASP energy ... -182.72 eV/cell
D(E_F) ... 10.1 states/eV/cell
Size of the total moment ... 0.00 μB/atom

Unit cell a=6.7570 b=6.7570 c=9.8346 alpha=90.00 beta=90.00 gamma=150.43
Fractional coordinates of all 18 atoms:
Pa 0.1142 0.8858 0.5000
Pa 0.1423 0.8577 0.1158
Pa 0.8577 0.1423 0.6158
Pa 0.8858 0.1142 0.0000
Nb 0.4534 0.5466 0.2882
Nb 0.5466 0.4534 0.7882
Tc 0.2101 0.7899 0.8241
Tc 0.7899 0.2101 0.3241
N 0.0545 0.9455 0.8937
N 0.2856 0.7144 0.4721
N 0.3084 0.6916 0.1824
N 0.3765 0.6235 0.8236
N 0.4946 0.5054 0.5933
N 0.5054 0.4946 0.0933
N 0.6235 0.3765 0.3236
N 0.6916 0.3084 0.6824
N 0.7144 0.2856 0.9721
N 0.9455 0.0545 0.3937

A relaxed structure of Tb2Pm2PrDy, computed with GGA-PBE.

Properties
Energy relative to the elements ... 0.259 eV per atom
Space group ... No. 58
VASP energy ... -53.17 eV/cell
D(E_F) ... 19.4 states/eV/cell
Size of the total moment ... 0.00 μB/atom

Unit cell a=6.6834 b=17.8417 c=3.4210 alpha=90.00 beta=90.00 gamma=90.00
Fractional coordinates of all 12 atoms:
Tb 0.2309 0.1804 0.0000
Tb 0.2691 0.6804 0.5000
Tb 0.7309 0.3196 0.5000
Tb 0.7691 0.8196 0.0000
Pm 0.2256 0.3488 0.5000
Pm 0.2744 0.8488 0.0000
Pm 0.7256 0.1512 0.0000
Pm 0.7744 0.6512 0.5000
Pr 0.0000 0.0000 0.0000
Pr 0.5000 0.5000 0.5000
Dy 0.0000 0.5000 0.0000
Dy 0.5000 0.0000 0.5000

A relaxed structure of Ba2PbCl, computed with GGA-PBE.

Properties
Formation energy from raw total energies ... -451 kJ/mol of formula units
Space group ... No. 12
VASP energy ... -14.08 eV/cell
D(E_F) ... 2.5 states/eV/cell
ΔE to the lowest computed polymorph ... 58 meV/atom
Size of the total moment ... 0.00 μB/atom

Unit cell a=4.8151 b=4.8151 c=8.7807 alpha=105.79 beta=105.79 gamma=59.16
Fractional coordinates of all 4 atoms:
Ba 0.2453 0.2453 0.2416
Ba 0.7547 0.7547 0.7584
Pb 0.0000 0.0000 0.5000
Cl 0.5000 0.5000 0.0000

A relaxed structure of Mg2SnRh, computed with GGA-PBE.

Properties
Energy relative to the elements ... -0.330 eV per atom
Space group ... No. 123
VASP energy ... -15.86 eV/cell
D(E_F) ... 2.1 states/eV/cell
Size of the total moment ... 0.00 μB/atom

Unit cell a=4.1627 b=4.1627 c=4.1949 alpha=90.00 beta=90.00 gamma=90.00
Fractional coordinates of all 4 atoms:
Mg 0.0000 0.5000 0.0000
Mg 0.5000 0.0000 0.0000
Sn 0.0000 0.0000 0.5000
Rh 0.5000 0.5000 0.5000

A relaxed structure of YZrCuS4, computed with GGA-PBE.

Properties
Formation energy from raw total energies ... -970 kJ/mol of formula units
Space group ... No. 74
VASP energy ... -91.33 eV/cell
D(E_F) ... 1.0 states/eV/cell
Size of the total moment ... 0.00 μB/atom

Unit cell a=7.5846 b=7.5846 c=7.5846 alpha=120.86 beta=119.39 gamma=89.79
Fractional coordinates of all 14 atoms:
Y 0.0000 0.0000 0.0000
Y 0.5000 0.0000 0.5000
Zr 0.5000 0.0000 0.0000
Zr 0.5000 0.5000 0.5000
Cu 0.1275 0.3775 0.7500
Cu 0.8725 0.6225 0.2500
S 0.2565 0.7451 0.5114
S 0.2606 0.2660 0.5054
S 0.2606 0.7552 0.9946
S 0.2662 0.2549 0.0114
S 0.7338 0.7451 0.9886
S 0.7394 0.2448 0.0054
S 0.7394 0.7340 0.4946
S 0.7435 0.2549 0.4886

A relaxed structure of SrIn5Hg4, computed with GGA-PBE.

Properties
Energy relative to the elements ... -0.129 eV per atom
Space group ... No. 2
VASP energy ... -17.88 eV/cell
D(E_F) ... 3.7 states/eV/cell
Size of the total moment ... 0.00 μB/atom

Unit cell a=5.5095 b=7.1867 c=7.5897 alpha=108.73 beta=96.42 gamma=95.39
Fractional coordinates of all 10 atoms:
Sr 0.0000 0.0000 0.0000
In 0.0000 0.0000 0.5000
In 0.1177 0.6133 0.2093
In 0.4226 0.6278 0.8649
In 0.5774 0.3722 0.1351
In 0.8823 0.3867 0.7907
Hg 0.2373 0.3606 0.4486
Hg 0.4706 0.0228 0.7381
Hg 0.5294 0.9772 0.2619
Hg 0.7627 0.6394 0.5514

A relaxed structure of YAu2Cl, computed with GGA-PBE.

Properties
Formation energy from raw total energies ... -318 kJ/mol of formula units
Space group ... No. 122
VASP energy ... -36.32 eV/cell
D(E_F) ... 0.8 states/eV/cell
Size of the total moment ... 0.00 μB/atom

Unit cell a=6.5124 b=6.5124 c=6.5124 alpha=99.96 beta=99.96 gamma=130.86
Fractional coordinates of all 8 atoms:
Y 0.0000 0.0000 0.0000
Y 0.7500 0.2500 0.5000
Au 0.1158 0.6250 0.9908
Au 0.3750 0.3658 0.4908
Au 0.6342 0.1250 0.0092
Au 0.8750 0.8842 0.5092
Cl 0.2500 0.7500 0.5000
Cl 0.5000 0.5000 0.0000

A relaxed structure of CsCaHg2Rh, computed with GGA-PBE.

Properties
Energy relative to the elements ... -0.204 eV per atom
Space group ... No. 123
VASP energy ... -11.83 eV/cell
D(E_F) ... 3.2 states/eV/cell
Size of the total moment ... 0.00 μB/atom

Unit cell a=5.5550 b=5.5550 c=5.2011 alpha=90.00 beta=90.00 gamma=90.00
Fractional coordinates of all 5 atoms:
Cs 0.0000 0.0000 0.0000
Ca 0.5000 0.5000 0.0000
Hg 0.0000 0.5000 0.5000
Hg 0.5000 0.0000 0.5000
Rh 0.5000 0.5000 0.5000

A relaxed structure of TcHgMo2, computed with GGA-PBE.

Properties
Energy relative to the elements ... 0.417 eV per atom
Space group ... No. 160
VASP energy ... -30.66 eV/cell
D(E_F) ... 3.4 states/eV/cell
Size of the total moment ... 0.00 μB/atom

Unit cell a=9.5768 b=9.5768 c=9.5768 alpha=17.25 beta=17.25 gamma=17.25
Fractional coordinates of all 4 atoms:
Tc 0.0000 0.0000 0.0000
Hg 0.2449 0.2449 0.2449
Mo 0.4882 0.4882 0.4882
Mo 0.7397 0.7397 0.7397